## 1
A plane-wave DFT calculation with PBE was carried out for crystalline PuMn2Be at its relaxed geometry.

Structure (CIF):
```
data_PuMn2Be
_symmetry_space_group_name_H-M 'P 4/m m m'
_symmetry_Int_Tables_number 123
_symmetry_space_group_name_Hall '-P 4 2'
_cell_length_a 3.946
_cell_length_b 3.946
_cell_length_c 3.443
_cell_angle_alpha 90.00
_cell_angle_beta 90.00
_cell_angle_gamma 90.00
loop_
_atom_site_label
_atom_site_fract_x
_atom_site_fract_y
_atom_site_fract_z
_atom_site_occupancy
Pu1 0.000 0.000 0.000 1
Mn1 0.000 0.500 0.500 1
Be1 0.500 0.500 0.000 1
```

Properties
Fermi-level density of states: 3.87 states/eV per cell
size of the total moment: 0.551 μB per cell

***

## 2
A plane-wave DFT calculation with PBE was carried out for crystalline PuMn2Be at its relaxed geometry.

Structure (CIF):
```
data_PuMn2Be
_symmetry_space_group_name_H-M 'P 4/m m m'
_symmetry_Int_Tables_number 123
_symmetry_space_group_name_Hall '-P 4 2'
_cell_length_a 2.908
_cell_length_b 2.908
_cell_length_c 6.588
_cell_angle_alpha 90.00
_cell_angle_beta 90.00
_cell_angle_gamma 90.00
loop_
_atom_site_label
_atom_site_fract_x
_atom_site_fract_y
_atom_site_fract_z
_atom_site_occupancy
Pu1 0.000 0.000 0.000 1
Mn1 0.500 0.500 0.309 1
Be1 0.000 0.000 0.500 1
```

Properties
Fermi-level density of states: 2.78 states/eV per cell
size of the total moment: 0.040 μB per cell

***

Energetically preferred structure: 1 | next structure: +5.4 kJ/mol of atoms

***

## 1
A plane-wave DFT calculation with PBE was carried out for crystalline MnBeRe at its relaxed geometry.

Structure (CIF):
```
data_MnBeRe
_symmetry_space_group_name_H-M 'P 62 2 2'
_symmetry_Int_Tables_number 180
_symmetry_space_group_name_Hall 'P 62 2 (0 0 4)'
_cell_length_a 4.9738
_cell_length_b 4.9738
_cell_length_c 9.4150
_cell_angle_alpha 90.00
_cell_angle_beta 90.00
_cell_angle_gamma 120.00
loop_
_atom_site_label
_atom_site_fract_x
_atom_site_fract_y
_atom_site_fract_z
_atom_site_occupancy
Mn1 0.0000 0.5000 0.3710 1
Be1 0.2197 0.6098 0.1667 1
Re1 0.0000 0.0000 0.1667 1
Re2 0.0000 0.5000 0.6667 1
```

Properties
Fermi-level density of states: 17.04 states/eV per cell
size of the total moment: 0.000 μB per cell

***

## 2
A plane-wave DFT calculation with PBE was carried out for crystalline MnBeRe at its relaxed geometry.

Structure (CIF):
```
data_MnBeRe
_symmetry_space_group_name_H-M 'F -4 3 m'
_symmetry_Int_Tables_number 216
_symmetry_space_group_name_Hall 'F -4 2 3'
_cell_length_a 5.432
_cell_length_b 5.432
_cell_length_c 5.432
_cell_angle_alpha 90.00
_cell_angle_beta 90.00
_cell_angle_gamma 90.00
loop_
_atom_site_label
_atom_site_fract_x
_atom_site_fract_y
_atom_site_fract_z
_atom_site_occupancy
Mn1 0.000 0.000 0.000 1
Be1 0.250 0.250 0.250 1
Re1 0.250 0.250 0.750 1
```

Properties
Fermi-level density of states: 15.90 states/eV per cell
size of the total moment: 0.014 μB per cell

***

Energetically preferred structure: 1 | next structure: +19.3 kJ/mol of atoms

***

## 1
A plane-wave DFT calculation with PBE was carried out for crystalline MnBeRe at its relaxed geometry.

Structure (CIF):
```
data_MnBeRe
_symmetry_space_group_name_H-M 'I 4 m m'
_symmetry_Int_Tables_number 107
_symmetry_space_group_name_Hall 'I 4 -2'
_cell_length_a 2.886
_cell_length_b 2.886
_cell_length_c 8.160
_cell_angle_alpha 90.00
_cell_angle_beta 90.00
_cell_angle_gamma 90.00
loop_
_atom_site_label
_atom_site_fract_x
_atom_site_fract_y
_atom_site_fract_z
_atom_site_occupancy
Mn1 0.000 0.000 0.000 1
Be1 0.000 0.000 0.348 1
Re1 0.000 0.000 0.670 1
```

Properties
Fermi-level density of states: 3.00 states/eV per cell
size of the total moment: 0.000 μB per cell

***

## 2
A plane-wave DFT calculation with PBE was carried out for crystalline MnBeRe at its relaxed geometry.

Structure (CIF):
```
data_MnBeRe
_symmetry_space_group_name_H-M 'P 3 m 1'
_symmetry_Int_Tables_number 156
_cell_length_a 3.9783
_cell_length_b 3.9783
_cell_length_c 2.5777
_cell_angle_alpha 90.00
_cell_angle_beta 90.00
_cell_angle_gamma 120.00
loop_
_symmetry_equiv_pos_as_xyz
'x,y,z'
'-y,x-y,z'
'-x+y,-x,z'
'-y,-x,z'
'-x+y,y,z'
'x,x-y,z'
loop_
_atom_site_label
_atom_site_fract_x
_atom_site_fract_y
_atom_site_fract_z
_atom_site_occupancy
Mn1 0.0000 0.0000 0.0000 1
Be1 0.6667 0.3333 0.7501 1
Re1 0.3333 0.6667 0.3195 1
```

Properties
Fermi-level density of states: 1.56 states/eV per cell
size of the total moment: 1.143 μB per cell

***

Energetically preferred structure: 1 | next structure: +8.5 kJ/mol of atoms

***

## 1
A plane-wave DFT calculation with PBE was carried out for crystalline MnBeRe3 at its relaxed geometry.

Structure (CIF):
```
data_MnBeRe3
_symmetry_space_group_name_H-M 'P m -3 m'
_symmetry_Int_Tables_number 221
_symmetry_space_group_name_Hall '-P 4 2 3'
_cell_length_a 4.394
_cell_length_b 4.394
_cell_length_c 4.394
_cell_angle_alpha 90.00
_cell_angle_beta 90.00
_cell_angle_gamma 90.00
loop_
_atom_site_label
_atom_site_fract_x
_atom_site_fract_y
_atom_site_fract_z
_atom_site_occupancy
Mn1 0.000 0.000 0.000 1
Be1 0.500 0.500 0.500 1
Re1 0.000 0.000 0.500 1
```

Properties
Fermi-level density of states: 5.08 states/eV per cell
size of the total moment: 0.000 μB per cell

***

## 2
A plane-wave DFT calculation with PBE was carried out for crystalline MnBeRe3 at its relaxed geometry.

Structure (CIF):
```
data_MnBeRe3
_symmetry_space_group_name_H-M 'P m -3 m'
_symmetry_Int_Tables_number 221
_symmetry_space_group_name_Hall '-P 4 2 3'
_cell_length_a 4.082
_cell_length_b 4.082
_cell_length_c 4.082
_cell_angle_alpha 90.00
_cell_angle_beta 90.00
_cell_angle_gamma 90.00
loop_
_atom_site_label
_atom_site_fract_x
_atom_site_fract_y
_atom_site_fract_z
_atom_site_occupancy
Mn1 0.000 0.000 0.000 1
Be1 0.500 0.500 0.500 1
Re1 0.000 0.500 0.500 1
```

Properties
Fermi-level density of states: 5.86 states/eV per cell
size of the total moment: 0.000 μB per cell

***

Energetically preferred structure: 2 | next structure: +89.7 kJ/mol of atoms